Entry 1:
# AlH3W

A relaxed structure of AlH3W (PBE, Alexandria). Values from VASP.

Structure (Quantum ESPRESSO input):
```
&SYSTEM
  ibrav = 0, nat = 5, ntyp = 3
/
ATOMIC_SPECIES
Al 26.98 Al.upf
H 1.01 H.upf
W 183.84 W.upf
ATOMIC_POSITIONS crystal
Al 0.000 0.000 0.000
H 0.000 0.500 0.500
H 0.500 0.000 0.500
H 0.500 0.500 0.000
W 0.500 0.500 0.500
CELL_PARAMETERS angstrom
3.506 0.000 0.000
0.000 3.506 0.000
0.000 0.000 3.506
```

## Properties
energy	-0.3643	Ry/atom
symmetry	No. 221

=====

Entry 2:
# Ac5SbP4

A relaxed structure of Ac5SbP4 (PBE, Alexandria). Values from VASP.

Structure (Quantum ESPRESSO input):
```
&SYSTEM
  ibrav = 0, nat = 10, ntyp = 3
/
ATOMIC_SPECIES
Ac 227.00 Ac.upf
Sb 121.76 Sb.upf
P 30.97 P.upf
ATOMIC_POSITIONS crystal
Ac 0.000 0.000 0.000
Ac 0.198 0.198 0.000
Ac 0.391 0.391 0.000
Ac 0.609 0.609 0.000
Ac 0.802 0.802 0.000
Sb 0.500 0.000 0.500
P 0.101 0.601 0.500
P 0.297 0.797 0.500
P 0.703 0.203 0.500
P 0.899 0.399 0.500
CELL_PARAMETERS angstrom
-2.251 3.207 11.319
2.251 -3.207 11.319
2.251 3.207 -11.319
```

## Properties
ΔE_f (raw)	-1.386	eV/atom
symmetry	No. 71

=====

Entry 3:
# Y3Tm5Sn2

A relaxed structure of Y3Tm5Sn2 (PBE, Alexandria). Values from VASP.

Structure (Quantum ESPRESSO input):
```
&SYSTEM
  ibrav = 0, nat = 20, ntyp = 3
/
ATOMIC_SPECIES
Y 88.91 Y.upf
Tm 168.93 Tm.upf
Sn 118.71 Sn.upf
ATOMIC_POSITIONS crystal
Y 0.214 0.119 0.333
Y 0.250 0.250 0.000
Y 0.286 0.619 0.905
Y 0.714 0.381 0.095
Y 0.750 0.750 0.000
Y 0.786 0.881 0.667
Tm 0.165 0.395 0.560
Tm 0.250 0.502 0.252
Tm 0.250 0.750 0.500
Tm 0.250 0.998 0.748
Tm 0.335 0.895 0.230
Tm 0.665 0.105 0.770
Tm 0.750 0.002 0.252
Tm 0.750 0.250 0.500
Tm 0.750 0.498 0.748
Tm 0.835 0.605 0.440
Sn 0.147 0.859 0.006
Sn 0.353 0.359 0.711
Sn 0.647 0.641 0.289
Sn 0.853 0.141 0.994
CELL_PARAMETERS angstrom
-6.325 7.767 3.138
6.325 -7.767 3.138
6.325 7.767 -3.138
```

## Properties
energy of formation from the pure elements	-0.05	eV/atom
symmetry	No. 72